Entry 1:
The following is a DFT calculation (PBE) of PrTh4As5 after structural relaxation.

The space group is I4/m (No. 87) and the conventional cell measures 9.532, 9.532 and 6.028 Å, with angles of 90.00, 90.00 and 90.00 degrees. The distinct sites, in fractional coordinates, are Pr at (0.000, 0.000, 0.000), Th at (0.101, 0.299, 0.500), As at (0.000, 0.000, 0.500) and As at (0.101, 0.303, 0.000).

The value obtained for the energy is -7.194 eV per atom.

Entry 2:
The following is a DFT calculation (PBE) of Co2NiPb after structural relaxation.

The space group is P4/mmm (No. 123) and the conventional cell measures 3.111, 3.111 and 6.086 Å, with angles of 90.00, 90.00 and 90.00 degrees. The distinct sites, in fractional coordinates, are Co at (0.000, 0.000, 0.196), Ni at (0.500, 0.500, 0.000) and Pb at (0.500, 0.500, 0.500).

The value obtained for the energy is -5.467 eV per atom.

Entry 3:
The following is a DFT calculation (PBE) of LiTm2Co after structural relaxation.

The space group is P4/mmm (No. 123) and the conventional cell measures 3.319, 3.319 and 7.913 Å, with angles of 90.00, 90.00 and 90.00 degrees. The distinct sites, in fractional coordinates, are Li at (0.000, 0.000, 0.000), Tm at (0.500, 0.500, 0.300) and Co at (0.000, 0.000, 0.500).

The value obtained for the energy is -4.600 eV per atom. Its offset from the most stable computed form is 0.010 eV/atom.

What did the second record say?
The following is a DFT calculation (PBE) of Co2NiPb after structural relaxation.

The space group is P4/mmm (No. 123) and the conventional cell measures 3.111, 3.111 and 6.086 Å, with angles of 90.00, 90.00 and 90.00 degrees. The distinct sites, in fractional coordinates, are Co at (0.000, 0.000, 0.196), Ni at (0.500, 0.500, 0.000) and Pb at (0.500, 0.500, 0.500).

The value obtained for the energy is -5.467 eV per atom.

Q: Which value of energy does entry 2 give?
A: -5.467 eV per atom